A relaxed Sr3NiF crystal. Source: Alexandria, functional GGA+U.

Lattice parameters (Å, degrees): 5.2263 5.2263 5.2263 90.00 90.00 90.00
Last column: nearest neighbours and their distance in Å.
Fractional positions:
Sr1 0.0000 0.0000 0.5000  2 F 2.61
Sr2 0.0000 0.5000 0.0000  2 F 2.61
Sr3 0.5000 0.0000 0.0000  2 F 2.61
Ni1 0.5000 0.5000 0.5000  12 Sr 3.70
F1 0.0000 0.0000 0.0000  6 Sr 2.61

Computed properties:
Density of states at the Fermi level = 2.91 states/eV/cell
Excess energy over the best structure of this formula in the dataset = 0.000 eV/atom